Entry 1:
Rb2PbSe: relaxed, PBE.

DFT total energy   -2.48 eV/atom
Offset from the most stable computed form   0.146 eV/atom
Raw formation energy   -201 meV per atom
Spin magnetization   2.00 μB per cell

a b c (Å): 6.0702 6.0702 6.0702
angles (deg): 60.00 60.00 60.00
Each line ends with the local moment (μB).
Sites, in units of the cell vectors:
1 Pb 0.5000 0.5000 0.5000  0.62
2 Se 0.0000 0.0000 0.0000  0.02
3 Rb 0.2500 0.2500 0.2500  0.04
4 Rb 0.7500 0.7500 0.7500  0.04

***

Entry 2:
Pm3DySn5: relaxed, PBE.

E_form   -0.63 eV per atom
DFT total energy   -4.95 eV/atom
Spin magnetization   0.00 μB per cell

a b c (Å): 6.4408 9.5240 9.5240
angles (deg): 120.00 90.00 90.00
Sites, in units of the cell vectors:
1 Pm 0.7500 0.3821 0.0000
2 Pm 0.7500 0.6179 0.6179
3 Pm 0.7500 0.0000 0.3821
4 Pm 0.2500 0.6179 0.0000
5 Pm 0.2500 0.3821 0.3821
6 Pm 0.2500 0.0000 0.6179
7 Dy 0.0000 0.0000 0.0000
8 Dy 0.5000 0.0000 0.0000
9 Sn 0.0000 0.3333 0.6667
10 Sn 0.5000 0.6667 0.3333
11 Sn 0.0000 0.6667 0.3333
12 Sn 0.5000 0.3333 0.6667
13 Sn 0.7500 0.7162 0.0000
14 Sn 0.7500 0.2838 0.2838
15 Sn 0.7500 0.0000 0.7162
16 Sn 0.2500 0.2838 0.0000
17 Sn 0.2500 0.7162 0.7162
18 Sn 0.2500 0.0000 0.2838

***

Entry 3:
BaSrBr2: relaxed, PBE.

DFT total energy   -3.10 eV/atom
Offset from the most stable computed form   0.140 eV/atom
Raw formation energy   -1361 meV per atom
Spin magnetization   3.35 μB per cell

a b c (Å): 7.3452 7.3452 9.0119
angles (deg): 65.95 65.95 90.00
Each line ends with the local moment (μB).
Sites, in units of the cell vectors:
1 Sr 0.5000 0.5000 0.0000  0.10
2 Sr 0.2500 0.7500 0.5000  0.10
3 Ba 0.0000 0.0000 0.0000  0.16
4 Ba 0.7500 0.2500 0.5000  0.16
5 Br 0.6000 0.1250 0.2500  0.04
6 Br 0.1500 0.6250 0.2500  0.04
7 Br 0.3750 0.4000 0.7500  0.04
8 Br 0.8750 0.8500 0.7500  0.04